# SCAN BaTaRePt2, single point on PBEsol structure
data_BaTaRePt2
_symmetry_space_group_name_H-M 'P 4/m m m'
_symmetry_Int_Tables_number 123
_symmetry_space_group_name_Hall '-P 4 2'
_cell_length_a 4.8264
_cell_length_b 4.8264
_cell_length_c 5.3130
_cell_angle_alpha 90.00
_cell_angle_beta 90.00
_cell_angle_gamma 90.00
loop_
_atom_site_label
_atom_site_fract_x
_atom_site_fract_y
_atom_site_fract_z
_atom_site_occupancy
Ba1 0.0000 0.0000 0.0000 1
Ta1 0.5000 0.5000 0.0000 1
Re1 0.0000 0.0000 0.5000 1
Pt1 0.0000 0.5000 0.5000 1
# N(E_F): 4.7 states/eV/cell
# energy of formation from the pure elements: 1655 meV per atom
# final energy: -61.8683 eV/atom


# SCAN P2RuW, single point on PBEsol structure
data_P2RuW
_symmetry_space_group_name_H-M 'P m m m'
_symmetry_Int_Tables_number 47
_cell_length_a 2.9330
_cell_length_b 3.8093
_cell_length_c 4.9407
_cell_angle_alpha 90.00
_cell_angle_beta 90.00
_cell_angle_gamma 90.00
loop_
_symmetry_equiv_pos_as_xyz
'x,y,z'
'-x,-y,-z'
'-x,-y,z'
'x,y,-z'
'x,-y,-z'
'-x,y,z'
'-x,y,-z'
'x,-y,z'
loop_
_atom_site_label
_atom_site_fract_x
_atom_site_fract_y
_atom_site_fract_z
_atom_site_occupancy
P1 0.0000 0.0000 0.0000 1
P2 0.5000 0.0000 0.5000 1
Ru1 0.0000 0.5000 0.5000 1
W1 0.5000 0.5000 0.0000 1
# N(E_F): 2.4 states/eV/cell
# energy of formation from the pure elements: 332 meV per atom
# final energy: -30.9962 eV/atom


# SCAN Fe2NiPb, single point on PBEsol structure
data_Fe2NiPb
_symmetry_space_group_name_H-M 'F m -3 m'
_symmetry_Int_Tables_number 225
_symmetry_space_group_name_Hall '-F 4 2 3'
_cell_length_a 6.0176
_cell_length_b 6.0176
_cell_length_c 6.0176
_cell_angle_alpha 90.00
_cell_angle_beta 90.00
_cell_angle_gamma 90.00
loop_
_atom_site_label
_atom_site_fract_x
_atom_site_fract_y
_atom_site_fract_z
_atom_site_occupancy
Fe1 0.2500 0.2500 0.2500 1
Ni1 0.0000 0.0000 0.0000 1
Pb1 0.0000 0.0000 0.5000 1
# N(E_F): 19.8 states/eV/cell
# energy of formation from the pure elements: 480 meV per atom
# final energy: -31.5736 eV/atom


# SCAN Zr2OsRu, single point on PBEsol structure
data_Zr2OsRu
_symmetry_space_group_name_H-M 'F -4 3 m'
_symmetry_Int_Tables_number 216
_symmetry_space_group_name_Hall 'F -4 2 3'
_cell_length_a 6.4199
_cell_length_b 6.4199
_cell_length_c 6.4199
_cell_angle_alpha 90.00
_cell_angle_beta 90.00
_cell_angle_gamma 90.00
loop_
_atom_site_label
_atom_site_fract_x
_atom_site_fract_y
_atom_site_fract_z
_atom_site_occupancy
Zr1 0.0000 0.0000 0.0000 1
Zr2 0.2500 0.2500 0.2500 1
Os1 0.2500 0.2500 0.7500 1
Ru1 0.0000 0.0000 0.5000 1
# N(E_F): 16.1 states/eV/cell
# energy of formation from the pure elements: -188 meV per atom
# final energy: -42.2138 eV/atom


# SCAN BaCu10P4, single point on PBEsol structure
data_BaCu10P4
_symmetry_space_group_name_H-M 'C 1 2/m 1'
_symmetry_Int_Tables_number 12
_cell_length_a 22.9523
_cell_length_b 3.8041
_cell_length_c 9.4966
_cell_angle_alpha 90.00
_cell_angle_beta 93.47
_cell_angle_gamma 90.00
loop_
_symmetry_equiv_pos_as_xyz
'x,y,z'
'-x,-y,-z'
'-x,y,-z'
'x,-y,z'
'x+1/2,y+1/2,z'
'-x+1/2,-y+1/2,-z'
'-x+1/2,y+1/2,-z'
'x+1/2,-y+1/2,z'
loop_
_atom_site_label
_atom_site_fract_x
_atom_site_fract_y
_atom_site_fract_z
_atom_site_occupancy
Ba1 0.1426 0.0000 0.2846 1
Cu1 0.0258 0.5000 0.3837 1
Cu2 0.0304 0.5000 0.1198 1
Cu3 0.0497 0.0000 0.5682 1
Cu4 0.0563 0.0000 0.9534 1
Cu5 0.0873 0.5000 0.7743 1
Cu6 0.1510 0.0000 0.6573 1
Cu7 0.1664 0.0000 0.9308 1
Cu8 0.2139 0.5000 0.5367 1
Cu9 0.2140 0.5000 0.8033 1
Cu10 0.2234 0.5000 0.0690 1
P1 0.0063 0.0000 0.2403 1
P2 0.1090 0.5000 0.5391 1
P3 0.1202 0.5000 0.0071 1
P4 0.2483 0.0000 0.6877 1
# N(E_F): 14.9 states/eV/cell
# energy of formation from the pure elements: -256 meV per atom
# final energy: -15.7982 eV/atom


# SCAN CaTlW, single point on PBEsol structure
data_CaTlW
_symmetry_space_group_name_H-M 'P 3 m 1'
_symmetry_Int_Tables_number 156
_cell_length_a 3.1269
_cell_length_b 3.1269
_cell_length_c 7.5811
_cell_angle_alpha 90.00
_cell_angle_beta 90.00
_cell_angle_gamma 120.00
loop_
_symmetry_equiv_pos_as_xyz
'x,y,z'
'-y,x-y,z'
'-x+y,-x,z'
'-y,-x,z'
'-x+y,y,z'
'x,x-y,z'
loop_
_atom_site_label
_atom_site_fract_x
_atom_site_fract_y
_atom_site_fract_z
_atom_site_occupancy
Ca1 0.0000 0.0000 0.0000 1
Tl1 0.3333 0.6667 0.6378 1
W1 0.6667 0.3333 0.3262 1
# N(E_F): 1.5 states/eV/cell
# energy of formation from the pure elements: 835 meV per atom
# final energy: -49.7348 eV/atom


Repeat the fourth record exactly.
# SCAN Zr2OsRu, single point on PBEsol structure
data_Zr2OsRu
_symmetry_space_group_name_H-M 'F -4 3 m'
_symmetry_Int_Tables_number 216
_symmetry_space_group_name_Hall 'F -4 2 3'
_cell_length_a 6.4199
_cell_length_b 6.4199
_cell_length_c 6.4199
_cell_angle_alpha 90.00
_cell_angle_beta 90.00
_cell_angle_gamma 90.00
loop_
_atom_site_label
_atom_site_fract_x
_atom_site_fract_y
_atom_site_fract_z
_atom_site_occupancy
Zr1 0.0000 0.0000 0.0000 1
Zr2 0.2500 0.2500 0.2500 1
Os1 0.2500 0.2500 0.7500 1
Ru1 0.0000 0.0000 0.5000 1
# N(E_F): 16.1 states/eV/cell
# energy of formation from the pure elements: -188 meV per atom
# final energy: -42.2138 eV/atom